P.
## LiAlBi3 (PBE-GGA)

Data for a relaxed structure of LiAlBi3.

Summary:
ρ (Mg/m³): 6.5
Crystal system: cubic
Space-group type: Pm-3m, No. 221

abc: 5.5286 5.5286 5.5286
angles: 90.00 90.00 90.00
Fractional positions:
Li1 0.5000 0.5000 0.5000
Bi1 0.0000 0.0000 0.5000
Bi2 0.0000 0.5000 0.0000
Al1 0.0000 0.0000 0.0000
Bi3 0.5000 0.0000 0.0000

---

Q.
## LiAlBi3 (PBE-GGA)

Data for a relaxed structure of LiAlBi3.

Summary:
ρ (Mg/m³): 7.7
Crystal system: cubic
Space-group type: Pm-3m, No. 221

abc: 5.2184 5.2184 5.2184
angles: 90.00 90.00 90.00
Fractional positions:
Bi1 0.0000 0.0000 0.5000
Al1 0.5000 0.5000 0.5000
Li1 0.0000 0.0000 0.0000
Bi2 0.5000 0.0000 0.0000
Bi3 0.0000 0.5000 0.0000

---

Stability ranking, top and bottom: P is the most stable and Q is the least stable.

---

P.
## Li2AlBiTe (PBE-GGA)

Data for a relaxed structure of Li2AlBiTe.

Summary:
ρ (Mg/m³): 4.5
Crystal system: tetragonal
Space-group type: P4/mmm, No. 123

abc: 4.9355 5.6643 4.9355
angles: 90.00 90.00 90.00
Fractional positions:
Te1 0.0000 0.0000 0.0000
Al1 0.0000 0.5000 0.0000
Bi1 0.5000 0.5000 0.5000
Li1 0.0000 0.0000 0.5000
Li2 0.5000 0.0000 0.0000

---

Q.
## Li2AlBiTe (PBE-GGA)

Data for a relaxed structure of Li2AlBiTe.

Summary:
ρ (Mg/m³): 4.0
Crystal system: tetragonal
Space-group type: P4/mmm, No. 123

abc: 4.9645 6.3854 4.9645
angles: 90.00 90.00 90.00
Fractional positions:
Te1 0.0000 0.0000 0.0000
Li1 0.5000 0.0000 0.0000
Al1 0.5000 0.5000 0.5000
Li2 0.0000 0.0000 0.5000
Bi1 0.0000 0.5000 0.0000

---

Stability ranking, top and bottom: P is the most stable and Q is the least stable.

---

P.
## MgAlBi2 (PBE-GGA)

Data for a relaxed structure of MgAlBi2.

Summary:
ρ (Mg/m³): 5.5
Crystal system: tetragonal
Space-group type: I-42d, No. 122

abc: 6.7531 6.7531 7.8409
angles: 64.49 64.49 90.00
Fractional positions:
Mg1 0.5000 0.5000 0.0000
Bi1 0.1075 0.6250 0.2500
Al1 0.0000 0.0000 0.0000
Bi2 0.3750 0.3575 0.7500
Mg2 0.2500 0.7500 0.5000
Bi3 0.8750 0.8925 0.7500
Al2 0.7500 0.2500 0.5000
Bi4 0.6425 0.1250 0.2500

---

Q.
## MgAlBi2 (PBE-GGA)

Data for a relaxed structure of MgAlBi2.

Summary:
ρ (Mg/m³): 6.6
Crystal system: trigonal
Space-group type: R-3m, No. 166

abc: 3.5209 3.5209 11.1599
angles: 80.92 80.92 60.00
Fractional positions:
Al1 0.5000 0.5000 0.5000
Mg1 0.0000 0.0000 0.0000
Bi1 0.1001 0.1001 0.6996
Bi2 0.8999 0.8999 0.3004

---

R.
## MgAlBi2 (PBE-GGA)

Data for a relaxed structure of MgAlBi2.

Summary:
ρ (Mg/m³): 7.4
Crystal system: tetragonal
Space-group type: P4/mmm, No. 123

abc: 3.5444 3.5444 8.4045
angles: 90.00 90.00 90.00
Fractional positions:
Al1 0.5000 0.5000 0.5000
Bi1 0.0000 0.0000 0.2572
Bi2 0.0000 0.0000 0.7428
Mg1 0.5000 0.5000 0.0000

---

S.
## MgAlBi2 (PBE-GGA)

Data for a relaxed structure of MgAlBi2.

Summary:
ρ (Mg/m³): 6.9
Crystal system: trigonal
Space-group type: R3m, No. 160

abc: 4.3960 4.3960 7.2222
angles: 72.28 72.28 60.00
Fractional positions:
Bi1 0.0776 0.0776 0.7671
Bi2 0.2557 0.2557 0.2328
Al1 0.6654 0.6654 0.0037
Mg1 0.5012 0.5012 0.4963

---

Stability ranking, top and bottom: S is the most stable and Q is the least stable.

---

P.
## MgAlBi2 (PBE-GGA)

Data for a relaxed structure of MgAlBi2.

Summary:
ρ (Mg/m³): 7.4
Crystal system: tetragonal
Space-group type: P4/mmm, No. 123

abc: 4.2135 4.9991 4.9991
angles: 90.00 90.00 90.00
Fractional positions:
Bi1 0.0000 0.5000 0.0000
Mg1 0.5000 0.0000 0.0000
Bi2 0.0000 0.0000 0.5000
Al1 0.5000 0.5000 0.5000

---

Q.
## MgAlBi2 (PBE-GGA)

Data for a relaxed structure of MgAlBi2.

Summary:
ρ (Mg/m³): 7.5
Crystal system: cubic
Space-group type: Fm-3m, No. 225

abc: 5.2875 5.2875 5.2875
angles: 60.00 60.00 60.00
Fractional positions:
Al1 0.5000 0.5000 0.5000
Mg1 0.0000 0.0000 0.0000
Bi1 0.7500 0.7500 0.7500
Bi2 0.2500 0.2500 0.2500

---

Stability ranking, top and bottom: P is the most stable and Q is the least stable.

---

P.
## Mg2AlBi (PBE-GGA)

Data for a relaxed structure of Mg2AlBi.

Summary:
ρ (Mg/m³): 5.0
Crystal system: tetragonal
Space-group type: P4/mmm, No. 123

abc: 3.6689 3.6689 7.0052
angles: 90.00 90.00 90.00
Fractional positions:
Al1 0.5000 0.5000 0.0000
Bi1 0.5000 0.5000 0.5000
Mg1 0.0000 0.0000 0.2203
Mg2 0.0000 0.0000 0.7797

---

Q.
## Mg2AlBi (PBE-GGA)

Data for a relaxed structure of Mg2AlBi.

Summary:
ρ (Mg/m³): 4.6
Crystal system: tetragonal
Space-group type: I-42d, No. 122

abc: 8.1953 8.1953 6.5480
angles: 51.26 51.26 90.00
Fractional positions:
Al1 0.2500 0.7500 0.5000
Al2 0.5000 0.5000 0.0000
Mg1 0.1381 0.6250 0.2500
Mg2 0.3750 0.3881 0.7500
Bi1 0.7500 0.2500 0.5000
Mg3 0.6119 0.1250 0.2500
Mg4 0.8750 0.8619 0.7500
Bi2 0.0000 0.0000 0.0000

---

Stability ranking, top and bottom: P is the most stable and Q is the least stable.

---

P.
## Mg2AlBi (PBE-GGA)

Data for a relaxed structure of Mg2AlBi.

Summary:
ρ (Mg/m³): 4.5
Crystal system: trigonal
Space-group type: R3m, No. 160

abc: 4.5451 4.5451 6.4575
angles: 69.40 69.40 60.00
Fractional positions:
Al1 0.6647 0.6647 0.0060
Mg1 0.2617 0.2617 0.2148
Mg2 0.0716 0.0716 0.7853
Bi1 0.5020 0.5020 0.4939

---

Q.
## Mg2AlBi (PBE-GGA)

Data for a relaxed structure of Mg2AlBi.

Summary:
ρ (Mg/m³): 5.0
Crystal system: tetragonal
Space-group type: P4/mmm, No. 123

abc: 4.4410 4.6094 4.6094
angles: 90.00 90.00 90.00
Fractional positions:
Al1 0.5000 0.5000 0.5000
Bi1 0.5000 0.0000 0.0000
Mg1 0.0000 0.5000 0.0000
Mg2 0.0000 0.0000 0.5000

---

Stability ranking, top and bottom: Q is the most stable and P is the least stable.